A relaxed NaAsI2N crystal, computed with GGA-PBEsol.

Geometry as POSCAR:
```
NaAsI2N
1.0
4.2604 0.0000 0.0000
0.0000 5.6449 0.0000
0.0000 0.0000 5.6449
Na I As N
1 2 1 1
Cartesian
0.0000 0.0000 0.0000
0.0000 0.0000 2.8224
0.0000 2.8224 0.0000
2.1302 2.8224 2.8224
2.1302 0.0000 0.0000
```

Properties
As for the space-group type: P4/mmm, No. 123. The uncorrected formation energy is 5.5 eV per formula unit.



A relaxed Zr5Os crystal, computed with GGA-PBEsol.

Geometry as POSCAR:
```
Zr5Os
1.0
-2.6836 1.8636 0.0806
0.5783 -2.2582 5.2030
4.1192 5.9511 -0.4448
Os Zr
1 5
Cartesian
0.7178 3.9073 -0.1821
-1.0700 1.1748 3.4713
1.2243 1.7019 1.4140
3.0838 4.3817 1.3676
0.7895 3.8546 3.4249
-1.3418 0.9318 0.0403
```

Properties
For the energy relative to the elements, the calculation gives -0.17 eV per atom. As for the space-group type: C2/m, No. 12. The calculation puts the distance to the lowest polymorph of the same formula at 0.00 eV per formula unit.



A relaxed InW2Se crystal, computed with GGA-PBEsol.

Geometry as POSCAR:
```
InW2Se
1.0
2.9699 0.0000 0.0000
1.4850 2.5720 0.0000
1.4850 0.8573 8.7721
In W Se
1 2 1
Cartesian
2.9699 1.7147 4.3861
4.4549 2.5720 6.7974
1.4850 0.8573 1.9747
0.0000 0.0000 0.0000
```

Properties
As for the space-group type: R-3m, No. 166. The calculation puts the distance to the lowest polymorph of the same formula at 0.00 eV per formula unit. The uncorrected formation energy is 2.0 eV per formula unit.



A relaxed BaMo2Se crystal, computed with GGA-PBEsol.

Geometry as POSCAR:
```
BaMo2Se
1.0
4.8592 0.0000 0.0000
2.4296 4.2082 0.0000
2.4296 1.4027 3.9675
Ba Mo Se
1 2 1
Cartesian
4.8592 2.8054 1.9837
0.0000 0.0000 0.0000
7.2888 4.2082 2.9756
2.4296 1.4027 0.9919
```

Properties
As for the space-group type: F-43m, No. 216. The uncorrected formation energy is 3.5 eV per formula unit.



A relaxed Li3CdHg crystal, computed with GGA-PBEsol.

Geometry as POSCAR:
```
Li3CdHg
1.0
-1.2938 -2.7289 -3.8630
2.9634 -3.5890 1.5429
-3.6861 -1.9275 2.5962
Hg Li Cd
1 3 1
Cartesian
0.0000 0.0000 0.0000
-0.6469 -1.3644 -1.9315
-1.8431 -0.9638 1.2981
1.4817 -1.7945 0.7714
-1.0082 -4.1227 0.1380
```

Properties
For the energy relative to the elements, the calculation gives 0.06 eV per atom. As for the space-group type: Pm-3m, No. 221.



A relaxed Be2VW2 crystal, computed with GGA-PBEsol.

Geometry as POSCAR:
```
Be2VW2
1.0
-2.6683 0.2173 -1.7255
-1.7021 -5.4837 1.9414
-2.8384 2.5486 4.7102
V W Be
2 4 4
Cartesian
-2.2702 -1.4676 3.3258
0.0000 0.0000 0.0000
-3.5608 0.8610 2.6752
-4.8215 -1.5131 4.3258
-3.6480 -3.5788 2.2509
-2.3873 -1.2048 0.6003
-3.1543 0.1526 4.8970
-1.3862 -3.0878 1.7546
-1.2853 0.3276 2.0288
-3.2552 -3.2628 4.6228
```

Properties
For the energy relative to the elements, the calculation gives -0.19 eV per atom. As for the space-group type: P4/mbm, No. 127.



Number 1: theoretical density 4.473 g cm⁻³, D(E_F) 3.835 states/eV/cell. Number 2: theoretical density 8.809 g cm⁻³, D(E_F) 7.155 states/eV/cell. Number 3: theoretical density 13.914 g cm⁻³, D(E_F) 2.328 states/eV/cell. Number 4: theoretical density 8.354 g cm⁻³, D(E_F) 3.012 states/eV/cell. Number 5: theoretical density 4.702 g cm⁻³, D(E_F) 1.914 states/eV/cell. Number 6: theoretical density 12.393 g cm⁻³, D(E_F) 3.660 states/eV/cell.